Record 1
A plane-wave DFT calculation with PBE was carried out for a relaxed HfAuN2F crystal.

## Properties
**E_tot**: -6.6800 eV/atom
**Space-group type**: P4/mmm, No. 123
**Spin magnetization**: 0.0 μB/f.u.

Lattice parameters (Å, degrees): 4.2511 4.2511 4.0318 90.00 90.00 90.00
With the nearest neighbours (Å) after each atom.
Element x y z (fractional)
Hf (0.0000, 0.0000, 0.0000)  2 F 2.02, 4 N 2.13
Au (0.5000, 0.5000, 0.5000)  8 N 2.93, 4 F 3.01
N (0.0000, 0.5000, 0.0000)  2 Hf 2.13
N (0.5000, 0.0000, 0.0000)  2 Hf 2.13
F (0.0000, 0.0000, 0.5000)  2 Hf 2.02

=====

Record 2
A plane-wave DFT calculation with PBE was carried out for a relaxed KInBrCl crystal.

## Properties
**E_tot**: -3.0825 eV/atom
**Space-group type**: P1, No. 1
**Spin magnetization**: 0.0 μB/f.u.

Lattice parameters (Å, degrees): 4.1934 4.5974 7.4877 89.87 89.28 89.98
With the nearest neighbours (Å) after each atom.
Element x y z (fractional)
K (0.0000, 0.0000, 0.0000)  2 Cl 3.16-3.22, 4 Br 3.36
In (0.1257, 0.4977, 0.4784)  2 Cl 3.01-3.02, 1 Br 3.09
Br (0.5039, 0.5006, 0.8300)  1 In 3.09, 4 K 3.36
Cl (0.5020, 0.9967, 0.3210)  2 In 3.01-3.02, 2 K 3.16-3.22